(1)
{"formula": "La2ZrGeC", "functional": "PBE", "state": "relaxed", "ef_ev_per_atom": 0.886, "final_energy_ev_per_atom": -5.5632, "magnetic_moment_mub_per_cell": 0.00, "cell": [[-3.258, 2.934, -4.075], [-3.168, -1.430, 1.503], [-0.375, 4.702, 3.685]], "species": ["La", "Ge", "Zr", "C", "La"], "fractional_positions": [[0.500, 0.000, 0.000], [0.000, 0.000, 0.000], [0.500, 0.500, 0.500], [0.000, 0.500, 0.000], [0.000, 0.000, 0.500]]}

(2)
{"formula": "ScSi2W", "functional": "PBE", "state": "relaxed", "relative_energy_mev_per_atom": 0.0, "final_energy_ev_per_atom": -7.9171, "magnetic_moment_mub_per_cell": 0.00, "cell": [[-1.749, 2.888, -1.654], [-2.918, -1.882, -0.200], [-2.790, 0.682, 4.140]], "species": ["Si", "W", "Si", "Sc"], "fractional_positions": [[0.500, 0.047, 0.282], [0.000, 0.481, 0.414], [0.000, 0.201, 0.972], [0.500, 0.771, 0.832]]}